A geometry-optimized Li2Mg2Ag3 structure. Source: the Alexandria database, functional PBE.

Unit cell a=4.6230 b=4.7533 c=7.0345 alpha=106.67 beta=90.22 gamma=119.03
Closest atoms and distances in Å follow each position.
Atoms (fractional coordinates):
Li  0.1402  0.2804  0.4162  2 Ag 2.71-2.77, 3 Mg 2.93-2.94, 3 Li 2.94
Li  0.8598  0.7196  0.5838  2 Ag 2.71-2.77, 3 Mg 2.93-2.94, 3 Li 2.94
Mg  0.4193  0.8395  0.2486  4 Ag 2.76-2.83, 3 Li 2.93-2.94
Mg  0.5807  0.1605  0.7514  4 Ag 2.76-2.83, 3 Li 2.93-2.94
Ag  0.0000  0.0000  0.0000  2 Li 2.77, 6 Ag 2.93-2.99, 2 Mg 3.09
Ag  0.2734  0.5461  0.8234  1 Li 2.71, 4 Mg 2.76-2.83, 3 Ag 2.93-2.99
Ag  0.7266  0.4539  0.1766  1 Li 2.71, 4 Mg 2.76-2.83, 3 Ag 2.93-2.99

Output
**Density**: 5.0 g/cm³
**Uncorrected energy**: -2.392 eV per atom
**Excess energy over the best structure of this formula in the dataset**: 37.3 meV per atom
**Density of states at the Fermi level**: 2.01 states/eV/f.u.
**Energy of formation from the pure elements**: -0.168 eV/atom


A geometry-optimized Li2MgAg structure. Source: the Alexandria database, functional PBE.

Unit cell a=5.3536 b=5.3536 c=4.5861 alpha=114.02 beta=114.02 gamma=37.57
Closest atoms and distances in Å follow each position.
Atoms (fractional coordinates):
Li  0.2357  0.2357  0.2347  2 Ag 2.76, 4 Li 2.87-2.89, 2 Mg 2.97
Li  0.7643  0.7643  0.7653  2 Ag 2.76, 4 Li 2.87-2.89, 2 Mg 2.97
Mg  0.0000  0.0000  0.5000  4 Ag 2.87, 8 Li 2.97-3.18
Ag  0.5000  0.5000  0.0000  4 Li 2.76, 4 Mg 2.87

Output
**Density**: 3.4 g/cm³
**Uncorrected energy**: -2.231 eV per atom
**Density of states at the Fermi level**: 1.09 states/eV/f.u.
**Energy of formation from the pure elements**: -0.163 eV/atom


A geometry-optimized Li2MgAg structure. Source: the Alexandria database, functional PBE.

Unit cell a=5.0678 b=5.0678 c=5.0678 alpha=131.75 beta=131.75 gamma=70.62
Closest atoms and distances in Å follow each position.
Atoms (fractional coordinates):
Li  0.2500  0.7500  0.5000  4 Mg 2.93, 4 Ag 2.93, 4 Li 2.93
Li  0.7500  0.2500  0.5000  4 Mg 2.93, 4 Ag 2.93, 4 Li 2.93
Mg  0.0000  0.0000  0.0000  8 Li 2.93, 4 Ag 2.93
Ag  0.5000  0.5000  0.0000  8 Li 2.93, 4 Mg 2.93

Output
**Density**: 3.4 g/cm³
**Uncorrected energy**: -2.228 eV per atom
**Density of states at the Fermi level**: 1.60 states/eV/f.u.
**Energy of formation from the pure elements**: -0.160 eV/atom


A geometry-optimized Li4Mg5Ag2 structure. Source: the Alexandria database, functional PBE.

Unit cell a=10.3148 b=10.3148 c=7.3181 alpha=92.77 beta=92.77 gamma=16.55
Closest atoms and distances in Å follow each position.
Atoms (fractional coordinates):
Li  0.0412  0.0412  0.3695  1 Li 2.61, 2 Ag 2.73-2.81, 1 Mg 2.78
Li  0.3327  0.3327  0.5191  2 Ag 2.92, 4 Li 2.97-3.05, 5 Mg 3.01-3.14
Li  0.6673  0.6673  0.4809  2 Ag 2.92, 4 Li 2.97-3.05, 5 Mg 3.01-3.14
Li  0.9588  0.9588  0.6305  1 Li 2.61, 2 Ag 2.73-2.81, 1 Mg 2.78
Mg  0.1361  0.1361  0.1088  1 Li 2.78, 1 Ag 2.85, 3 Mg 2.97-3.03
Mg  0.2313  0.2313  0.8039  1 Ag 2.93, 5 Mg 2.97-3.13, 3 Li 3.01-3.03
Mg  0.5000  0.5000  0.0000  6 Mg 2.97-3.22, 4 Ag 3.09, 4 Li 3.16
Mg  0.7687  0.7687  0.1961  1 Ag 2.93, 5 Mg 2.97-3.13, 3 Li 3.01-3.03
Mg  0.8639  0.8639  0.8912  1 Li 2.78, 1 Ag 2.85, 3 Mg 2.97-3.03
Ag  0.0888  0.0888  0.7358  4 Li 2.73-2.92, 2 Mg 2.85-2.93, 2 Ag 2.97
Ag  0.9112  0.9112  0.2642  4 Li 2.73-2.92, 2 Mg 2.85-2.93, 2 Ag 2.97

Output
**Density**: 2.7 g/cm³
**Uncorrected energy**: -1.979 eV per atom
**Excess energy over the best structure of this formula in the dataset**: 43.1 meV per atom
**Density of states at the Fermi level**: 4.35 states/eV/f.u.
**Energy of formation from the pure elements**: -0.040 eV/atom


A geometry-optimized Li3Mg2Ag4 structure. Source: the Alexandria database, functional PBE.

Unit cell a=4.6359 b=4.6359 c=8.6722 alpha=93.19 beta=93.19 gamma=57.84
Closest atoms and distances in Å follow each position.
Atoms (fractional coordinates):
Li  0.0000  0.0000  0.0000  8 Ag 2.81-2.91
Li  0.3375  0.3375  0.4356  4 Ag 2.78-2.82, 3 Li 2.80-2.91, 1 Mg 3.01
Li  0.6625  0.6625  0.5644  4 Ag 2.78-2.82, 3 Li 2.80-2.91, 1 Mg 3.01
Mg  0.3314  0.3314  0.7826  7 Ag 2.80-2.85, 1 Li 3.01
Mg  0.6686  0.6686  0.2174  7 Ag 2.80-2.85, 1 Li 3.01
Ag  0.0040  0.0040  0.3356  4 Li 2.78-2.91, 3 Mg 2.83-2.85, 1 Ag 2.86
Ag  0.3335  0.3335  0.1106  4 Mg 2.80-2.84, 4 Li 2.81-2.82
Ag  0.6665  0.6665  0.8894  4 Mg 2.80-2.84, 4 Li 2.81-2.82
Ag  0.9960  0.9960  0.6644  4 Li 2.78-2.91, 3 Mg 2.83-2.85, 1 Ag 2.86

Output
**Density**: 5.3 g/cm³
**Uncorrected energy**: -2.467 eV per atom
**Density of states at the Fermi level**: 4.03 states/eV/f.u.
**Energy of formation from the pure elements**: -0.208 eV/atom


A geometry-optimized Li6Mg3Ag2 structure. Source: the Alexandria database, functional PBE.

Unit cell a=5.1281 b=5.4663 c=8.6059 alpha=91.39 beta=90.37 gamma=117.43
Closest atoms and distances in Å follow each position.
Atoms (fractional coordinates):
Li  0.0007  0.0060  0.1705  2 Li 2.56-2.57, 2 Ag 2.75-2.76
Li  0.3441  0.1904  0.5004  7 Li 3.00-3.28, 2 Ag 3.13-3.24, 3 Mg 3.22-3.33
Li  0.4976  0.9927  0.8299  2 Li 2.56-2.57, 2 Ag 2.73-2.74
Li  0.5024  0.0073  0.1701  2 Li 2.56-2.57, 2 Ag 2.73-2.74
Li  0.6559  0.8096  0.4996  7 Li 3.00-3.28, 2 Ag 3.13-3.24, 3 Mg 3.22-3.33
Li  0.9993  0.9940  0.8295  2 Li 2.56-2.57, 2 Ag 2.75-2.76
Mg  0.0000  0.5000  0.0000  2 Mg 2.89, 4 Ag 2.95-2.98, 8 Li 3.10-3.13
Mg  0.0069  0.5158  0.3357  2 Mg 2.84-2.89, 2 Ag 2.91-2.93, 4 Li 3.08-3.11
Mg  0.9931  0.4842  0.6643  2 Mg 2.84-2.89, 2 Ag 2.91-2.93, 4 Li 3.08-3.11
Ag  0.4983  0.4940  0.8266  4 Li 2.73-2.76, 4 Mg 2.91-2.98, 1 Ag 2.98
Ag  0.5017  0.5060  0.1734  4 Li 2.73-2.76, 4 Mg 2.91-2.98, 1 Ag 2.98

Output
**Density**: 2.6 g/cm³
**Uncorrected energy**: -2.074 eV per atom
**Density of states at the Fermi level**: 4.00 states/eV/f.u.
**Energy of formation from the pure elements**: -0.077 eV/atom


A geometry-optimized Li4MgAg5 structure. Source: the Alexandria database, functional PBE.

Unit cell a=3.2745 b=3.2745 c=15.3939 alpha=90.00 beta=90.00 gamma=90.00
Closest atoms and distances in Å follow each position.
Atoms (fractional coordinates):
Li  0.0000  0.0000  0.0980  8 Ag 2.76, 2 Li 3.01-3.02
Li  0.0000  0.0000  0.2936  8 Ag 2.76, 1 Li 3.01
Li  0.0000  0.0000  0.7064  8 Ag 2.76, 1 Li 3.01
Li  0.0000  0.0000  0.9020  8 Ag 2.76, 2 Li 3.01-3.02
Mg  0.0000  0.0000  0.5000  8 Ag 2.86, 2 Li 3.18
Ag  0.5000  0.5000  0.0000  8 Li 2.76, 2 Ag 3.01
Ag  0.5000  0.5000  0.1955  8 Li 2.76, 2 Ag 3.00-3.01
Ag  0.5000  0.5000  0.3906  4 Li 2.76, 4 Mg 2.86, 1 Ag 3.00
Ag  0.5000  0.5000  0.6094  4 Li 2.76, 4 Mg 2.86, 1 Ag 3.00
Ag  0.5000  0.5000  0.8045  8 Li 2.76, 2 Ag 3.00-3.01

Output
**Density**: 5.9 g/cm³
**Uncorrected energy**: -2.570 eV per atom
**Density of states at the Fermi level**: 1.33 states/eV/f.u.
**Energy of formation from the pure elements**: -0.219 eV/atom


A geometry-optimized Li4Mg2Ag5 structure. Source: the Alexandria database, functional PBE.

Unit cell a=7.0249 b=18.0201 c=3.0497 alpha=90.00 beta=90.00 gamma=90.00
Closest atoms and distances in Å follow each position.
Atoms (fractional coordinates):
Li  0.0684  0.1250  0.0000  6 Ag 2.76-2.81, 3 Li 3.01-3.05, 2 Mg 3.02
Li  0.1951  0.4570  0.0000  8 Ag 2.74-2.77, 3 Li 3.01-3.05
Li  0.3049  0.9570  0.0000  8 Ag 2.74-2.77, 3 Li 3.01-3.05
Li  0.4316  0.6250  0.0000  6 Ag 2.76-2.81, 3 Li 3.01-3.05, 2 Mg 3.02
Li  0.5684  0.3750  0.0000  6 Ag 2.76-2.81, 3 Li 3.01-3.05, 2 Mg 3.02
Li  0.6951  0.0430  0.0000  8 Ag 2.74-2.77, 3 Li 3.01-3.05
Li  0.8049  0.5430  0.0000  8 Ag 2.74-2.77, 3 Li 3.01-3.05
Li  0.9316  0.8750  0.0000  6 Ag 2.76-2.81, 3 Li 3.01-3.05, 2 Mg 3.02
Mg  0.0706  0.7163  0.0000  6 Ag 2.85-2.90, 2 Li 3.02, 2 Mg 3.05
Mg  0.4294  0.2163  0.0000  6 Ag 2.85-2.90, 2 Li 3.02, 2 Mg 3.05
Mg  0.5706  0.7837  0.0000  6 Ag 2.85-2.90, 2 Li 3.02, 2 Mg 3.05
Mg  0.9294  0.2837  0.0000  6 Ag 2.85-2.90, 2 Li 3.02, 2 Mg 3.05
Ag  0.0000  0.0000  0.5000  8 Li 2.74-2.76, 4 Ag 3.05
Ag  0.1177  0.5806  0.5000  6 Li 2.75-2.80, 2 Mg 2.90, 4 Ag 3.05
Ag  0.2470  0.8308  0.5000  4 Li 2.77-2.81, 4 Mg 2.85-2.87, 3 Ag 3.05
Ag  0.2530  0.3308  0.5000  4 Li 2.77-2.81, 4 Mg 2.85-2.87, 3 Ag 3.05
Ag  0.3823  0.0806  0.5000  6 Li 2.75-2.80, 2 Mg 2.90, 4 Ag 3.05
Ag  0.5000  0.5000  0.5000  8 Li 2.74-2.76, 4 Ag 3.05
Ag  0.6177  0.9194  0.5000  6 Li 2.75-2.80, 2 Mg 2.90, 4 Ag 3.05
Ag  0.7470  0.6692  0.5000  4 Li 2.77-2.81, 4 Mg 2.85-2.87, 3 Ag 3.05
Ag  0.7530  0.1692  0.5000  4 Li 2.77-2.81, 4 Mg 2.85-2.87, 3 Ag 3.05
Ag  0.8823  0.4194  0.5000  6 Li 2.75-2.80, 2 Mg 2.90, 4 Ag 3.05

Output
**Density**: 5.3 g/cm³
**Uncorrected energy**: -2.466 eV per atom
**Density of states at the Fermi level**: 3.62 states/eV/f.u.
**Energy of formation from the pure elements**: -0.184 eV/atom